CdCuAu2 | the Alexandria database | PBE | relaxed; size of the total moment = 0.0 μB/f.u.; calculated total energy = -2.952 eV/atom; ΔE_f = -60 meV/atom; space-group type = C2/m (12); V = 17.40 Å³/atom
1.0
-0.922 3.680 5.497
3.193 -3.559 -0.256
2.276 1.976 0.827
Au Cd Cu
2 1 1
direct
0.000 0.000 0.000 Au
0.500 0.000 0.500 Au
0.000 0.500 0.500 Cd
0.500 0.500 0.000 Cu



Cd2CuAu | the Alexandria database | PBE | relaxed; size of the total moment = 0.0 μB/f.u.; calculated total energy = -2.181 eV/atom; ΔE_f = 120 meV/atom; space-group type = R3m (160); V = 20.88 Å³/atom
1.0
3.790 0.000 0.000
1.895 3.282 0.000
1.895 1.094 6.717
Cd Au Cu
2 1 1
direct
0.245 0.245 0.266 Cd
0.088 0.088 0.736 Cd
0.665 0.665 0.004 Au
0.502 0.502 0.495 Cu



CdCu4Au7 | the Alexandria database | PBE | relaxed; size of the total moment = 0.0 μB/f.u.; calculated total energy = -3.239 eV/atom; ΔE_f = 114 meV/atom; space-group type = C2/m (12); V = 18.13 Å³/atom
1.0
5.016 0.000 0.000
2.508 7.821 0.022
2.508 0.320 5.548
Cu Au Cd
4 7 1
direct
0.286 0.326 0.101 Cu
0.435 0.772 0.359 Cu
0.565 0.228 0.641 Cu
0.714 0.674 0.899 Cu
0.213 0.099 0.474 Au
0.072 0.649 0.206 Au
0.500 0.000 0.000 Au
0.787 0.901 0.526 Au
0.354 0.559 0.733 Au
0.646 0.441 0.267 Au
0.928 0.351 0.794 Au
0.000 0.000 0.000 Cd



Cd2CuAu2 | the Alexandria database | PBE | relaxed; size of the total moment = 0.0 μB/f.u.; calculated total energy = -2.530 eV/atom; ΔE_f = -34 meV/atom; ΔE to the lowest computed polymorph = 0.20 eV per formula unit; space-group type = P4/mbm (127); V = 19.16 Å³/atom
1.0
-6.863 -0.368 0.179
0.256 -6.206 -2.946
0.188 -1.730 3.661
Au Cd Cu
4 4 2
direct
0.353 0.853 0.000 Au
0.647 0.147 0.000 Au
0.147 0.353 0.000 Au
0.853 0.647 0.000 Au
0.660 0.840 0.500 Cd
0.160 0.660 0.500 Cd
0.840 0.340 0.500 Cd
0.340 0.160 0.500 Cd
0.500 0.500 0.000 Cu
0.000 0.000 0.000 Cu



Cd2CuAu9 | the Alexandria database | PBE | relaxed; size of the total moment = 0.0 μB/f.u.; calculated total energy = -3.039 eV/atom; ΔE_f = -88 meV/atom; space-group type = P4/mmm (123); V = 18.06 Å³/atom
1.0
-3.690 -0.200 1.963
-1.187 -3.101 -2.546
4.663 -8.289 7.919
Cd Au Cu
2 9 1
direct
0.000 0.000 0.328 Cd
0.000 0.000 0.672 Cd
0.000 0.500 0.156 Au
0.000 0.500 0.844 Au
0.500 0.500 0.672 Au
0.500 0.000 0.844 Au
0.500 0.500 0.328 Au
0.500 0.000 0.156 Au
0.500 0.500 0.000 Au
0.500 0.000 0.500 Au
0.000 0.500 0.500 Au
0.000 0.000 0.000 Cu



Cd9Cu4Au11 | the Alexandria database | PBE | relaxed; size of the total moment = 0.0 μB/f.u.; calculated total energy = -2.644 eV/atom; ΔE_f = -116 meV/atom; space-group type = Cmmm (65); V = 18.30 Å³/atom
1.0
-0.358 2.327 -2.168
7.763 -5.687 -7.385
-11.399 -3.626 -2.011
Cd Cu Au
9 4 11
direct
0.500 0.500 0.500 Cd
0.500 0.065 0.216 Cd
0.500 0.630 0.154 Cd
0.500 0.846 0.370 Cd
0.500 0.935 0.784 Cd
0.500 0.784 0.935 Cd
0.500 0.216 0.065 Cd
0.500 0.370 0.846 Cd
0.500 0.154 0.630 Cd
0.500 0.550 0.749 Cu
0.500 0.749 0.550 Cu
0.500 0.450 0.251 Cu
0.500 0.251 0.450 Cu
0.000 0.297 0.297 Au
0.000 0.703 0.703 Au
0.000 0.940 0.588 Au
0.000 0.161 0.839 Au
0.000 0.368 0.632 Au
0.000 0.060 0.412 Au
0.000 0.412 0.060 Au
0.000 0.000 0.000 Au
0.000 0.588 0.940 Au
0.000 0.632 0.368 Au
0.000 0.839 0.161 Au



Cd6CuAu2 | the Alexandria database | PBE | relaxed; size of the total moment = 0.0 μB/f.u.; calculated total energy = -1.843 eV/atom; ΔE_f = -50 meV/atom; space-group type = C2/m (12); V = 19.72 Å³/atom
1.0
-2.721 2.764 2.170
-2.022 -4.387 -1.500
3.793 -2.395 7.808
Cd Au Cu
6 2 1
direct
0.000 0.001 0.812 Cd
0.000 0.999 0.188 Cd
0.663 0.326 0.402 Cd
0.666 0.332 0.057 Cd
0.334 0.668 0.943 Cd
0.337 0.674 0.598 Cd
0.670 0.341 0.722 Au
0.330 0.659 0.278 Au
0.000 0.000 0.500 Cu



Cd2Cu2Au | the Alexandria database | PBE | relaxed; size of the total moment = 0.0 μB/f.u.; calculated total energy = -2.651 eV/atom; ΔE_f = 9 meV/atom; ΔE to the lowest computed polymorph = 0.00 eV per formula unit; space-group type = P4/mbm (127); V = 17.39 Å³/atom
1.0
-3.943 1.828 -5.187
-0.890 -6.510 -1.618
-3.046 -0.146 2.263
Au Cu Cd
2 4 4
direct
0.000 0.000 0.000 Au
0.500 0.500 0.000 Au
0.130 0.370 0.000 Cu
0.870 0.630 0.000 Cu
0.370 0.870 0.000 Cu
0.630 0.130 0.000 Cu
0.668 0.832 0.500 Cd
0.168 0.668 0.500 Cd
0.332 0.168 0.500 Cd
0.832 0.332 0.500 Cd



Cd2CuAu | the Alexandria database | PBE | relaxed; size of the total moment = 0.0 μB/f.u.; calculated total energy = -2.351 eV/atom; ΔE_f = -50 meV/atom; space-group type = I4/mmm (139); V = 18.10 Å³/atom
1.0
4.821 -0.382 -0.120
1.154 4.696 0.120
-2.916 -2.256 3.132
Cd Cu Au
2 1 1
direct
0.000 0.000 0.000 Cd
0.500 0.500 0.000 Cd
0.750 0.250 0.500 Cu
0.250 0.750 0.500 Au



CdCuAu3 | the Alexandria database | PBE | relaxed; size of the total moment = 0.0 μB/f.u.; calculated total energy = -3.018 eV/atom; ΔE_f = -49 meV/atom; ΔE to the lowest computed polymorph = 0.21 eV per formula unit; space-group type = Pmmn (59); V = 18.32 Å³/atom
1.0
4.207 -0.001 0.000
0.002 6.911 0.000
0.000 0.000 6.302
Au Cd Cu
6 2 2
direct
0.750 0.045 0.720 Au
0.250 0.955 0.280 Au
0.750 0.750 0.038 Au
0.250 0.545 0.280 Au
0.250 0.250 0.962 Au
0.750 0.455 0.720 Au
0.250 0.750 0.730 Cd
0.750 0.250 0.270 Cd
0.250 0.250 0.551 Cu
0.750 0.750 0.449 Cu



Cd2Cu3Au4 | the Alexandria database | PBE | relaxed; size of the total moment = 0.0 μB/f.u.; calculated total energy = -3.091 eV/atom; ΔE_f = -66 meV/atom; space-group type = C2/m (12); V = 16.68 Å³/atom
1.0
-3.139 2.890 0.039
-4.021 -1.253 2.645
1.604 1.633 8.007
Cu Au Cd
3 4 2
direct
0.349 0.301 0.445 Cu
0.000 0.000 0.000 Cu
0.651 0.699 0.555 Cu
0.025 0.950 0.341 Au
0.662 0.676 0.887 Au
0.975 0.050 0.659 Au
0.338 0.324 0.113 Au
0.318 0.365 0.764 Cd
0.682 0.635 0.236 Cd



Cd2CuAu | the Alexandria database | PBE | relaxed; size of the total moment = 0.0 μB/f.u.; calculated total energy = -2.347 eV/atom; ΔE_f = -46 meV/atom; space-group type = P2/m (10); V = 18.04 Å³/atom
1.0
3.687 0.000 0.000
0.000 3.089 0.038
0.000 3.087 6.375
Cu Au Cd
1 1 2
direct
0.500 0.250 0.250 Cu
0.500 0.750 0.750 Au
0.000 0.516 0.485 Cd
0.000 0.984 0.015 Cd



Cd4CuAu4 | the Alexandria database | PBE | relaxed; size of the total moment = 0.0 μB/f.u.; calculated total energy = -2.346 eV/atom; ΔE_f = -28 meV/atom; space-group type = I-42m (121); V = 20.23 Å³/atom
1.0
5.511 0.000 0.000
-2.756 5.995 2.756
0.000 0.000 5.511
Cu Au Cd
1 4 4
direct
0.000 0.000 0.000 Cu
0.621 0.661 0.379 Au
0.379 0.339 0.039 Au
0.039 0.661 0.961 Au
0.961 0.339 0.621 Au
0.792 0.188 0.208 Cd
0.208 0.812 0.397 Cd
0.603 0.812 0.792 Cd
0.397 0.188 0.603 Cd



CdCu2Au2 | the Alexandria database | PBE | relaxed; size of the total moment = 0.0 μB/f.u.; calculated total energy = -3.119 eV/atom; ΔE_f = 13 meV/atom; ΔE to the lowest computed polymorph = 0.32 eV per formula unit; space-group type = I4/mmm (139); V = 17.55 Å³/atom
1.0
3.585 0.000 0.000
0.000 3.585 0.000
1.793 1.793 6.827
Au Cd Cu
2 1 2
direct
0.394 0.394 0.213 Au
0.606 0.606 0.787 Au
0.000 0.000 0.000 Cd
0.750 0.250 0.500 Cu
0.250 0.750 0.500 Cu



Cd6CuAu8 | the Alexandria database | PBE | relaxed; size of the total moment = 0.0 μB/f.u.; calculated total energy = -2.402 eV/atom; ΔE_f = -15 meV/atom; space-group type = R-3 (148); V = 20.93 Å³/atom
1.0
-4.153 6.777 0.459
-3.619 2.897 -6.472
-7.299 0.251 -0.703
Au Cu Cd
8 1 6
direct
0.721 0.721 0.836 Au
0.795 0.116 0.629 Au
0.205 0.884 0.371 Au
0.116 0.460 0.629 Au
0.279 0.279 0.164 Au
0.540 0.205 0.371 Au
0.460 0.795 0.629 Au
0.884 0.540 0.371 Au
0.000 0.000 0.000 Cu
0.086 0.692 0.860 Cd
0.308 0.638 0.140 Cd
0.914 0.308 0.140 Cd
0.638 0.914 0.140 Cd
0.692 0.362 0.860 Cd
0.362 0.086 0.860 Cd



Cd3Cu2Au4 | the Alexandria database | PBE | relaxed; size of the total moment = 0.0 μB/f.u.; calculated total energy = -2.757 eV/atom; ΔE_f = -85 meV/atom; space-group type = P-1 (2); V = 17.78 Å³/atom
1.0
-0.612 -2.479 2.803
-0.187 -4.849 -1.745
8.771 -2.855 -0.690
Cu Au Cd
2 4 3
direct
0.671 0.657 0.214 Cu
0.329 0.343 0.786 Cu
0.326 0.347 0.115 Au
0.021 0.956 0.322 Au
0.674 0.653 0.885 Au
0.979 0.044 0.678 Au
0.339 0.323 0.434 Cd
0.000 0.000 0.000 Cd
0.661 0.677 0.566 Cd



Cd3CuAu2 | the Alexandria database | PBE | relaxed; size of the total moment = 0.0 μB/f.u.; calculated total energy = -2.344 eV/atom; ΔE_f = -111 meV/atom; space-group type = Cmmm (65); V = 18.71 Å³/atom
1.0
-1.933 -0.540 -4.155
-2.731 -1.346 1.446
-1.993 6.834 2.601
Cd Au Cu
3 2 1
direct
0.317 0.000 0.634 Cd
0.683 0.000 0.366 Cd
0.500 0.500 0.000 Cd
0.859 0.500 0.719 Au
0.141 0.500 0.281 Au
0.000 0.000 0.000 Cu



Cd5CuAu4 | the Alexandria database | PBE | relaxed; size of the total moment = 0.0 μB/f.u.; calculated total energy = -2.301 eV/atom; ΔE_f = -123 meV/atom; space-group type = P4/mmm (123); V = 18.97 Å³/atom
1.0
3.295 0.000 0.000
0.000 3.295 0.000
0.000 0.000 17.477
Cd Au Cu
5 4 1
direct
0.500 0.500 0.500 Cd
0.500 0.500 0.293 Cd
0.500 0.500 0.912 Cd
0.500 0.500 0.707 Cd
0.500 0.500 0.088 Cd
0.000 0.000 0.397 Au
0.000 0.000 0.810 Au
0.000 0.000 0.190 Au
0.000 0.000 0.603 Au
0.000 0.000 0.000 Cu



CdCuAu2 | the Alexandria database | PBE | relaxed; size of the total moment = 0.0 μB/f.u.; calculated total energy = -2.922 eV/atom; ΔE_f = -30 meV/atom; space-group type = R-3m (166); V = 17.59 Å³/atom
1.0
-1.525 -6.119 -6.683
-2.084 -7.850 -4.297
-4.244 -6.091 -5.415
Au Cd Cu
2 1 1
direct
0.008 0.008 0.008 Au
0.492 0.492 0.492 Au
0.250 0.250 0.250 Cd
0.750 0.750 0.750 Cu



CdCuAu | the Alexandria database | PBE | relaxed; size of the total moment = 0.0 μB/f.u.; calculated total energy = -2.819 eV/atom; ΔE_f = -56 meV/atom; ΔE to the lowest computed polymorph = 0.02 eV per formula unit; space-group type = P-1 (2); V = 17.91 Å³/atom
1.0
4.680 -0.812 -0.906
1.665 2.940 -0.414
-1.983 0.172 7.500
Au Cd Cu
2 2 2
direct
0.980 0.407 0.800 Au
0.020 0.593 0.200 Au
0.700 0.344 0.381 Cd
0.300 0.656 0.619 Cd
0.359 0.855 0.069 Cu
0.641 0.145 0.931 Cu